Sm3HoTm2Bi6, relaxed, DFT PBE; D(E_F) = 0.1668 states/eV per atom; SG = C2/m, No. 12; magnetization = 0.00 μB per atom; energy = -5.108 eV/atom
1.0
-2.533 -2.669 2.593
7.135 -5.255 1.561
1.729 7.929 5.942
Sm Bi Tm Ho
3 6 2 1
Direct
0.500 0.500 0.000 Sm
0.834 0.167 0.667 Sm
0.166 0.833 0.333 Sm
0.665 0.088 0.331 Bi
0.998 0.753 0.996 Bi
0.335 0.912 0.669 Bi
0.002 0.247 0.004 Bi
0.669 0.578 0.337 Bi
0.331 0.422 0.663 Bi
0.167 0.333 0.334 Tm
0.833 0.667 0.666 Tm
0.500 0.000 0.000 Ho